1.
DFT (PBE-GGA) results for a relaxed structure of TlTePt2.

Output
Its uncorrected formation energy is -0.05 eV per atom. The value obtained for the polymorph energy (0 for the lowest one) is 0.052 eV/atom. The calculation puts the volume at 24.7 Å³ per atom.

Unit cell a=8.747 b=3.825 c=6.069 alpha=90.00 beta=103.37 gamma=90.00
Space group Cm (No. 8)
Symmetry-distinct sites (fractional):
1 Tl 0.000 0.000 0.000 [2 per cell]
2 Te 0.298 0.500 0.443 [2 per cell]
3 Pt 0.014 0.500 0.580 [2 per cell]
4 Pt 0.236 0.000 0.733 [2 per cell]

***

2.
DFT (PBE-GGA) results for a relaxed structure of TlTe3Pt.

Output
Its uncorrected formation energy is 1.31 eV per atom. The value obtained for the polymorph energy (0 for the lowest one) is 1.200 eV/atom. The calculation puts the volume at 36.5 Å³ per atom.

Unit cell a=5.673 b=5.673 c=5.673 alpha=90.00 beta=90.00 gamma=90.00
Space group Pm-3m (No. 221)
Symmetry-distinct sites (fractional):
1 Tl 0.000 0.000 0.000 [1 per cell]
2 Te 0.000 0.000 0.500 [3 per cell]
3 Pt 0.500 0.500 0.500 [1 per cell]

***

3.
DFT (PBE-GGA) results for a relaxed structure of TlTe2Pt.

Output
Its uncorrected formation energy is 0.34 eV per atom. The value obtained for the polymorph energy (0 for the lowest one) is 0.634 eV/atom. The calculation puts the volume at 25.0 Å³ per atom.

Unit cell a=5.570 b=5.570 c=6.459 alpha=90.00 beta=90.00 gamma=90.00
Space group I4/mmm (No. 139)
Symmetry-distinct sites (fractional):
1 Tl 0.000 0.000 0.000 [2 per cell]
2 Te 0.000 0.500 0.250 [4 per cell]
3 Pt 0.000 0.000 0.500 [2 per cell]